Computed, not measured: a relaxed HoGaSn3 crystal at the PBE-GGA level of DFT.

Symmetry: Pbcm (57)
Formation enthalpy at 0 K (eV/atom): -0.304
M_tot (μB/f.u.): 0.00
Density of states at the Fermi level (states/eV per cell): 8.71

```
data_HoGaSn3
_space_group_name_H-M_alt 'P 1'
_space_group_IT_number 1
_space_group_name_Hall 'P 1'
_cell_length_a 12.537
_cell_length_b 6.253
_cell_length_c 6.378
_cell_angle_alpha 90.00
_cell_angle_beta 90.00
_cell_angle_gamma 90.00
loop_
_atom_site_label
_atom_site_fract_x
_atom_site_fract_y
_atom_site_fract_z
Ho1 0.196 0.018 0.250
Ho2 0.196 0.482 0.750
Ho3 0.804 0.518 0.250
Ho4 0.804 0.982 0.750
Ga1 0.379 0.250 0.000
Ga2 0.379 0.250 0.500
Ga3 0.621 0.750 0.000
Ga4 0.621 0.750 0.500
Sn1 0.000 0.250 0.000
Sn2 0.000 0.250 0.500
Sn3 0.000 0.750 0.000
Sn4 0.000 0.750 0.500
Sn5 0.233 0.523 0.250
Sn6 0.233 0.977 0.750
Sn7 0.435 0.652 0.750
Sn8 0.435 0.848 0.250
Sn9 0.565 0.152 0.750
Sn10 0.565 0.348 0.250
Sn11 0.767 0.023 0.250
Sn12 0.767 0.477 0.750
```